No. 1
This record from the Alexandria database describes SiH3Br after structural relaxation. The functional is PBE.

Structure (extended XYZ):
```
5
Lattice="3.848 0.000 0.000 0.000 3.848 0.000 0.000 0.000 3.848" Properties=species:S:1:pos:R:3 pbc="T T T"
Br 0.000 0.000 0.000
Si 1.924 1.924 1.924
H 0.000 1.924 0.000
H 1.924 0.000 0.000
H 0.000 0.000 1.924
```

Properties
energy = -0.077 Ha/atom
D(E_F) = 1.97 states/eV/cell
density = 3.24 g/cm3
symmetry = Pm-3m, No. 221
calculated volume = 57.0 Å³/cell

No. 2
This record from the Alexandria database describes Nd2PuO6 after structural relaxation. The functional is PBE.

Structure (extended XYZ):
```
9
Lattice="-3.323 1.630 -1.387 -2.867 -2.396 4.052 3.950 4.930 1.961" Properties=species:S:1:pos:R:3 pbc="T T T"
O -1.928 -0.452 4.090
O 0.060 3.882 4.419
O -2.299 0.282 0.208
Pu 0.000 0.000 0.000
O -0.420 0.809 1.958
O -1.819 3.355 2.669
Nd -2.814 1.109 2.414
O -0.311 4.615 0.537
Nd 0.574 3.055 2.213
```

Properties
D(E_F) = 5.87 states/eV/cell
density = 8.43 g/cm3
symmetry = Immm, No. 71
energy relative to the elements, uncorrected = -3.028 eV per atom
calculated volume = 123.7 Å³/cell

No. 3
This record from the Alexandria database describes Mn2CoOs after structural relaxation. The functional is PBE.

Structure (extended XYZ):
```
4
Lattice="-0.486 2.258 -2.761 -3.401 -1.166 -0.355 -1.117 2.561 2.291" Properties=species:S:1:pos:R:3 pbc="T T T"
Mn -2.259 0.698 0.968
Co -0.801 2.410 -0.235
Os -1.943 0.546 -1.558
Mn 0.000 0.000 0.000
```

Properties
D(E_F) = 3.48 states/eV/cell
DFT formation energy = 0.0414 eV/atom
density = 12.69 g/cm3
symmetry = P4/mmm, No. 123
calculated volume = 47.0 Å³/cell

No. 4
This record from the Alexandria database describes Pr8Ga2Te after structural relaxation. The functional is PBE.

Structure (extended XYZ):
```
11
Lattice="-3.683 2.983 1.441 -4.853 -4.934 -2.189 3.311 -4.278 8.799" Properties=species:S:1:pos:R:3 pbc="T T T"
Pr -3.583 -3.932 -1.017
Pr 0.952 -1.886 6.335
Pr -1.006 -2.822 3.272
Pr -1.424 -4.901 6.504
Pr -1.642 -2.296 9.069
Pr -3.801 -1.327 1.548
Pr -6.177 -4.342 1.717
Ga -3.073 -4.727 1.933
Ga -2.152 -1.501 6.119
Pr -4.219 -3.406 4.780
Te -1.841 1.492 0.721
```

Properties
D(E_F) = 14.04 states/eV/cell
density = 6.55 g/cm3
symmetry = C2/m, No. 12
energy relative to the elements, uncorrected = -0.395 eV per atom
calculated volume = 353.6 Å³/cell